[1]
Material: SmAlH
Method: DFT, PBE-GGA
State: relaxed

Computed properties:
Offset from the most stable computed form = 0.0000 eV per atom
Magnetization = 0.000 μB/cell

abc: 4.2021 4.2021 22.2344
angles: 90.00 90.00 120.00
Space group R-3m (No. 166, hexagonal axes)
Unique sites:
Sm 0.0000 0.0000 0.0997
Al 0.0000 0.0000 0.3397
H 0.0000 0.0000 0.2035

[2]
Material: Li2SiCl
Method: DFT, PBE-GGA
State: relaxed

Computed properties:
Offset from the most stable computed form = 0.2758 eV per atom
Magnetization = 0.000 μB/cell

abc: 3.449 3.449 16.293
angles: 90.00 90.00 90.00
Space group I-4m2 (No. 119)
Unique sites:
Li 0.000 0.000 0.000
Li 0.000 0.500 0.250
Si 0.000 0.500 0.750
Cl 0.000 0.000 0.500

[3]
Material: CuHPd3
Method: DFT, PBE-GGA
State: relaxed

Computed properties:
Offset from the most stable computed form = 0.0103 eV per atom
Magnetization = 0.000 μB/cell

abc: 7.892 7.828 5.576
angles: 90.00 134.46 90.00
Space group C2/c (No. 15)
Unique sites:
Cu 0.000 0.245 0.250
H 0.000 0.489 0.750
Pd 0.000 0.247 0.750
Pd 0.248 0.001 0.250

[4]
Material: Tb5Nd2Tm4
Method: DFT, PBE-GGA
State: relaxed

Computed properties:
Offset from the most stable computed form = 0.1689 eV per atom
ΔH_f (0 K) = 0.189 eV per atom
Magnetization = 0.001 μB/cell

abc: 3.485 8.999 23.255
angles: 90.00 90.00 90.00
Space group Immm (No. 71)
Unique sites:
Tb 0.000 0.000 0.000
Tb 0.000 0.304 0.359
Nd 0.000 0.500 0.232
Tm 0.000 0.186 0.500
Tm 0.000 0.500 0.097

[5]
Material: AsRu2Au
Method: DFT, PBE-GGA
State: relaxed

Computed properties:
ΔH_f (0 K) = 0.305 eV per atom
Magnetization = 0.000 μB/cell

abc: 2.890 4.282 5.346
angles: 90.00 105.53 90.00
Space group Pm (No. 6)
Unique sites:
As 0.000 0.000 0.000
Ru 0.296 0.000 0.578
Ru 0.897 0.500 0.780
Au 0.644 0.500 0.273

[6]
Material: TaSiRu2
Method: DFT, PBE-GGA
State: relaxed

Computed properties:
DFT total energy = -9.153 eV/atom
Magnetization = 0.023 μB/cell

abc: 2.8856 2.8856 24.6141
angles: 90.00 90.00 120.00
Space group R-3m (No. 166, hexagonal axes)
Unique sites:
Ta 0.0000 0.0000 0.0000
Si 0.0000 0.0000 0.5000
Ru 0.0000 0.0000 0.2425

[7]
Material: LiDy2Os
Method: DFT, PBE-GGA
State: relaxed

Computed properties:
Offset from the most stable computed form = 0.0000 eV per atom
ΔH_f (0 K) = -0.237 eV per atom
Magnetization = 0.000 μB/cell

abc: 6.921 6.921 6.921
angles: 90.00 90.00 90.00
Space group Fm-3m (No. 225)
Unique sites:
Li 0.000 0.000 0.000
Dy 0.250 0.250 0.250
Os 0.000 0.000 0.500

[8]
Material: Th8Os3RuSe4
Method: DFT, PBE-GGA
State: relaxed

Computed properties:
DFT total energy = -8.292 eV/atom
Magnetization = 0.000 μB/cell

abc: 8.2415 8.2415 22.0636
angles: 90.00 90.00 120.00
Space group R-3m (No. 166, hexagonal axes)
Unique sites:
Th 0.0000 0.0000 0.2376
Th 0.9998 0.4999 0.2376
Os 0.0000 0.5000 0.5000
Ru 0.0000 0.0000 0.5000
Se 0.0000 0.0000 0.0000
Se 0.0000 0.5000 0.0000

[9]
Material: La2Er3TmTe6
Method: DFT, PBE-GGA
State: relaxed

Computed properties:
DFT total energy = -5.238 eV/atom
Magnetization = 0.000 μB/cell

abc: 19.243 4.365 8.888
angles: 90.00 103.71 90.00
Space group C2/m (No. 12)
Unique sites:
La 0.168 0.000 0.335
Er 0.000 0.500 0.500
Er 0.173 0.000 0.835
Tm 0.000 0.500 0.000
Te 0.006 0.000 0.755
Te 0.161 0.500 0.594
Te 0.163 0.500 0.068

[10]
Material: NbV2Pt2
Method: DFT, PBE-GGA
State: relaxed

Computed properties:
Offset from the most stable computed form = 0.3392 eV per atom
ΔH_f (0 K) = -0.025 eV per atom
Magnetization = 0.003 μB/cell

abc: 3.771 3.771 11.584
angles: 90.00 90.00 90.00
Space group I4/mmm (No. 139)
Unique sites:
Nb 0.000 0.000 0.000
V 0.000 0.000 0.401
Pt 0.000 0.500 0.250

> Number 7 is which compound?

LiDy2Os

> The highest magnetization belongs to which entry?

TaSiRu2

> magnetization of number 3 (CuHPd3)?

0.000 μB/cell

> Among the records above, which one has the highest magnetization?

TaSiRu2